This record from Alexandria describes a relaxed structure of BaPmW2O8. The functional is PBE+U.

The mass density is 5.27 g/cm3.

It has space group P-3m1 (No. 164), with a = 6.0816 Å, b = 6.0816 Å, c = 7.6502 Å, α = 90.00°, β = 90.00° and γ = 120.00°. Symmetry generates all atoms from Ba at (0.0000, 0.0000, 0.0000), Pm at (0.0000, 0.0000, 0.5000), W at (0.3333, 0.6667, 0.7796), O at (0.1660, 0.3320, 0.7035) and O at (0.3333, 0.6667, 0.0160).

***

This record from Alexandria describes a relaxed structure of BaPmWO6. The functional is PBE+U.

The mass density is 5.74 g/cm3.

It has space group P312 (No. 149), with a = 5.8200 Å, b = 5.8200 Å, c = 5.5465 Å, α = 90.00°, β = 90.00° and γ = 120.00°. Symmetry generates all atoms from Ba at (0.0000, 0.0000, 0.0000), Pm at (0.3333, 0.6667, 0.5000), W at (0.6667, 0.3333, 0.5000) and O at (0.4002, 0.0476, 0.7007).

***

Let's list Fermi-level density of states in order: 0.419 0.799 states/eV per atom.
Let's list energy in order: -89.08 -65.75 eV for the cell shown.